Density functional theory data (PBE+U) for an optimized crystal structure of ZnCrO3.

abc: 3.886 3.886 3.886
angles: 87.87 87.87 87.87
Fractional coordinates of all 5 atoms:
1 Zn 0.000 0.000 0.000
2 Cr 0.602 0.602 0.602
3 O 0.125 0.644 0.644
4 O 0.644 0.125 0.644
5 O 0.644 0.644 0.125

N(E_F)   0.36 states/eV per atom
Energy   -5.831 eV/atom